1.
Entry from Alexandria via LeMat-Bulk: HoPaCuSi after structural relaxation (PBE-GGA).

Cell and atoms, written as POSCAR:
```
HoPaCuSi
1.0
0.000 3.462 3.462
3.462 0.000 3.462
3.462 3.462 0.000
Ho Pa Cu Si
1 1 1 1
Direct
0.000 0.000 0.000 Ho
0.500 0.500 0.500 Pa
0.750 0.750 0.750 Cu
0.250 0.250 0.250 Si
```

The calculation puts the raw total energy at -24.310 eV for the cell shown. As for the crystal system: cubic. The calculation puts the uncorrected formation energy at -0.7 eV per formula unit. The value obtained for the density of states at the Fermi level is 4.65 states/eV per cell. The space group is No. 216. The value obtained for the total magnetization is 0.0 μB per cell.

***

2.
Entry from Alexandria via LeMat-Bulk: Ac3Pm4Pr3 after structural relaxation (PBE-GGA).

Cell and atoms, written as POSCAR:
```
Ac3Pm4Pr3
1.0
3.872 0.000 0.000
0.000 7.038 7.118
0.000 -7.038 7.118
Ac Pm Pr
3 4 3
Direct
0.000 0.000 0.000 Ac
0.500 0.328 0.827 Ac
0.500 0.827 0.328 Ac
0.500 0.209 0.209 Pm
0.500 0.452 0.452 Pm
0.500 0.694 0.944 Pm
0.500 0.944 0.694 Pm
0.000 0.155 0.503 Pr
0.000 0.503 0.155 Pr
0.000 0.652 0.652 Pr
```

The calculation puts the raw total energy at -44.885 eV for the cell shown. As for the crystal system: orthorhombic. The value obtained for the density of states at the Fermi level is 12.35 states/eV per cell. The space group is No. 38. The value obtained for the total magnetization is 0.0 μB per cell. As for the formation energy: 0.8 eV/f.u.